[1]
Below is a geometry-optimized KZr2Ta structure, with properties calculated at the PBEsol level.

Geometry as POSCAR:
```
KZr2Ta
1.0
9.204 0.000 0.000
0.000 2.989 0.000
-0.418 0.000 7.906
K Zr Ta
2 4 2
direct
0.000 0.000 0.000
0.500 0.500 0.000
0.235 0.000 0.666
0.265 0.500 0.334
0.735 0.500 0.666
0.765 0.000 0.334
0.000 0.500 0.500
0.500 0.000 0.500
```

## Properties
Raw total energy: -0.535 Ry per atom
ΔE to the lowest computed polymorph: 0.0 meV/atom
Magnetization: 0.00 μB per formula unit
Calculated formation energy: 0.682 eV per atom

***

[2]
Below is a geometry-optimized KZr2Ta structure, with properties calculated at the PBEsol level.

Geometry as POSCAR:
```
KZr2Ta
1.0
4.847 0.000 0.000
0.000 4.847 0.000
0.000 0.000 3.782
K Zr Ta
1 2 1
direct
0.000 0.000 0.000
0.000 0.500 0.500
0.500 0.000 0.500
0.500 0.500 0.000
```

## Properties
Raw total energy: -0.503 Ry per atom
ΔE to the lowest computed polymorph: 441.4 meV/atom
Magnetization: 0.00 μB per formula unit
Calculated formation energy: 1.123 eV per atom

***

[3]
Below is a geometry-optimized KZrTa4 structure, with properties calculated at the PBEsol level.

Geometry as POSCAR:
```
KZrTa4
1.0
0.000 3.991 3.991
3.991 0.000 3.991
3.991 3.991 0.000
K Zr Ta
1 1 4
direct
0.000 0.000 0.000
0.750 0.750 0.750
0.377 0.377 0.377
0.377 0.377 0.870
0.377 0.870 0.377
0.870 0.377 0.377
```

## Properties
Raw total energy: -0.671 Ry per atom
Magnetization: 0.00 μB per formula unit
Calculated formation energy: 0.936 eV per atom

***

[4]
Below is a geometry-optimized K5Tc structure, with properties calculated at the PBEsol level.

Geometry as POSCAR:
```
K5Tc
1.0
15.313 0.000 0.000
0.000 3.860 0.000
-4.697 0.000 10.341
K Tc
10 2
direct
0.000 0.000 0.000
0.036 0.000 0.387
0.162 0.500 0.765
0.287 0.000 0.143
0.324 0.000 0.530
0.500 0.500 0.000
0.536 0.500 0.387
0.662 0.000 0.765
0.787 0.500 0.143
0.824 0.500 0.530
0.162 0.500 0.265
0.662 0.000 0.265
```

## Properties
Raw total energy: -0.143 Ry per atom
ΔE to the lowest computed polymorph: 0.0 meV/atom
Magnetization: 3.00 μB per formula unit
Calculated formation energy: 0.883 eV per atom